# 1
Computed, not measured: a relaxed structure of ScMnCl2 at the GGA-PBE level of DFT.

a = 6.243 Å, b = 8.450 Å, c = 3.446 Å
α = 90.00°, β = 119.13°, γ = 90.00°
Space group C2/m (No. 12)
One atom of each set of equivalent atoms:
Sc 0.000 0.000 0.000
Mn 0.000 0.500 0.000
Cl 0.250 0.250 0.000

Output
uncorrected formation energy	-0.58	eV per atom
crystal system	monoclinic

# 2
Computed, not measured: a relaxed structure of SrMg2ZrMo at the GGA-PBE level of DFT.

a = 5.433 Å, b = 5.433 Å, c = 4.871 Å
α = 90.00°, β = 90.00°, γ = 90.00°
Space group P4/mmm (No. 123)
One atom of each set of equivalent atoms:
Sr 0.000 0.000 0.000
Mg 0.000 0.500 0.500
Zr 0.500 0.500 0.000
Mo 0.500 0.500 0.500

Output
crystal system	tetragonal
energy of formation from the pure elements	0.440	eV per atom

# 3
Computed, not measured: a relaxed structure of BaBiBrO2 at the GGA-PBE level of DFT.

a = 4.126 Å, b = 4.126 Å, c = 14.112 Å
α = 90.00°, β = 90.00°, γ = 90.00°
Space group I4mm (No. 107)
One atom of each set of equivalent atoms:
Ba 0.000 0.000 0.000
Bi 0.000 0.000 0.317
Br 0.000 0.000 0.634
O 0.000 0.500 0.385

Output
uncorrected formation energy	-1.83	eV per atom
crystal system	tetragonal

| no. | electronic total energy (eV/cell) | volume (Å³/atom) |
| --- | --- | --- |
| 1 | -43.00 | 19.85 |
| 2 | -22.05 | 28.76 |
| 3 | -53.13 | 24.02 |